Entry w
This record from Alexandria describes a PBEsol-optimized structure of BeZnIr2. The functional is meta-GGA SCAN.

Calculated values
Calculated volume, Å³ per cell: 49.6
SG: Imm2, No. 44

Structure (POSCAR):
```
BeZnIr2
1.0
-1.4097 2.0436 4.3012
1.4097 -2.0436 4.3012
1.4097 2.0436 -4.3012
Be Zn Ir
1 1 2
direct
0.0000 0.0000 0.0000
0.7641 0.2641 0.5000
0.2208 0.7208 0.5000
0.4856 0.4856 0.0000
```



Entry x
This record from Alexandria describes a PBEsol-optimized structure of BeZnIr2. The functional is meta-GGA SCAN.

Calculated values
Calculated volume, Å³ per cell: 50.3
SG: R-3m, No. 166

Structure (POSCAR):
```
BeZnIr2
1.0
1.3730 0.7927 7.6977
-1.3730 0.7927 7.6977
0.0000 -1.5854 7.6977
Be Zn Ir
1 1 2
direct
0.0000 0.0000 0.0000
0.5000 0.5000 0.5000
0.2575 0.2575 0.2575
0.7425 0.7425 0.7425
```



The least stable of them is entry w.



Entry w
This record from Alexandria describes a PBEsol-optimized structure of ZrBe2Ir. The functional is meta-GGA SCAN.

Calculated values
Calculated volume, Å³ per cell: 50.5
SG: Amm2, No. 38

Structure (POSCAR):
```
ZrBe2Ir
1.0
3.6441 0.0000 0.0000
0.0000 1.4902 4.6505
0.0000 -1.4902 4.6505
Zr Be Ir
1 2 1
direct
0.0000 0.0000 0.0000
0.0000 0.2684 0.2684
0.5000 0.3826 0.3826
0.5000 0.6887 0.6887
```



Entry x
This record from Alexandria describes a PBEsol-optimized structure of ZrBe2Ir. The functional is meta-GGA SCAN.

Calculated values
Calculated volume, Å³ per cell: 54.2
SG: P4/mmm, No. 123

Structure (POSCAR):
```
ZrBe2Ir
1.0
3.7342 0.0000 0.0000
0.0000 3.7342 0.0000
0.0000 0.0000 3.8873
Zr Be Ir
1 2 1
direct
0.0000 0.0000 0.0000
0.0000 0.5000 0.5000
0.5000 0.0000 0.5000
0.5000 0.5000 0.0000
```



Entry y
This record from Alexandria describes a PBEsol-optimized structure of ZrBe2Ir. The functional is meta-GGA SCAN.

Calculated values
Calculated volume, Å³ per cell: 50.0
SG: Fm-3m, No. 225

Structure (POSCAR):
```
ZrBe2Ir
1.0
0.0000 2.9240 2.9240
2.9240 0.0000 2.9240
2.9240 2.9240 0.0000
Zr Be Ir
1 2 1
direct
0.0000 0.0000 0.0000
0.2500 0.2500 0.2500
0.7500 0.7500 0.7500
0.5000 0.5000 0.5000
```



The least stable of them is entry x.



Entry w
This record from Alexandria describes a PBEsol-optimized structure of KBeMo. The functional is meta-GGA SCAN.

Calculated values
Calculated volume, Å³ per cell: 54.1
SG: I4mm, No. 107

Structure (POSCAR):
```
KBeMo
1.0
-1.3790 1.3790 7.1163
1.3790 -1.3790 7.1163
1.3790 1.3790 -7.1163
K Be Mo
1 1 1
direct
0.0000 0.0000 0.0000
0.3108 0.3108 0.0000
0.7085 0.7085 0.0000
```



Entry x
This record from Alexandria describes a PBEsol-optimized structure of KBeMo. The functional is meta-GGA SCAN.

Calculated values
Calculated volume, Å³ per cell: 68.5
SG: F-43m, No. 216

Structure (POSCAR):
```
KBeMo
1.0
0.0000 3.2480 3.2480
3.2480 0.0000 3.2480
3.2480 3.2480 0.0000
K Be Mo
1 1 1
direct
0.0000 0.0000 0.0000
0.2500 0.2500 0.2500
0.5000 0.5000 0.5000
```



The least stable of them is entry x.



Entry w
This record from Alexandria describes a PBEsol-optimized structure of KBeNi. The functional is meta-GGA SCAN.

Calculated values
Calculated volume, Å³ per cell: 60.9
SG: F-43m, No. 216

Structure (POSCAR):
```
KBeNi
1.0
0.0000 3.1218 3.1218
3.1218 0.0000 3.1218
3.1218 3.1218 0.0000
K Be Ni
1 1 1
direct
0.0000 0.0000 0.0000
0.2500 0.2500 0.2500
0.5000 0.5000 0.5000
```



Entry x
This record from Alexandria describes a PBEsol-optimized structure of KBeNi. The functional is meta-GGA SCAN.

Calculated values
Calculated volume, Å³ per cell: 60.8
SG: F-43m, No. 216

Structure (POSCAR):
```
KBeNi
1.0
0.0000 3.1205 3.1205
3.1205 0.0000 3.1205
3.1205 3.1205 0.0000
K Be Ni
1 1 1
direct
0.0000 0.0000 0.0000
0.5000 0.5000 0.5000
0.7500 0.7500 0.7500
```



Entry y
This record from Alexandria describes a PBEsol-optimized structure of KBeNi. The functional is meta-GGA SCAN.

Calculated values
Calculated volume, Å³ per cell: 70.8
SG: F-43m, No. 216

Structure (POSCAR):
```
KBeNi
1.0
0.0000 3.2832 3.2832
3.2832 0.0000 3.2832
3.2832 3.2832 0.0000
K Be Ni
1 1 1
direct
0.0000 0.0000 0.0000
0.2500 0.2500 0.2500
0.7500 0.7500 0.7500
```



The least stable of them is entry y.



Entry w
This record from Alexandria describes a PBEsol-optimized structure of KBePS2. The functional is meta-GGA SCAN.

Calculated values
Calculated volume, Å³ per cell: 137.3
SG: P4/mmm, No. 123

Structure (POSCAR):
```
KBePS2
1.0
5.1773 0.0000 0.0000
0.0000 5.1773 0.0000
0.0000 0.0000 5.1211
K Be P S
1 1 1 2
direct
0.0000 0.0000 0.0000
0.5000 0.5000 0.5000
0.0000 0.0000 0.5000
0.0000 0.5000 0.0000
0.5000 0.0000 0.0000
```



Entry x
This record from Alexandria describes a PBEsol-optimized structure of KBePS2. The functional is meta-GGA SCAN.

Calculated values
Calculated volume, Å³ per cell: 91.0
SG: P4/mmm, No. 123

Structure (POSCAR):
```
KBePS2
1.0
4.6591 0.0000 0.0000
0.0000 4.6591 0.0000
0.0000 0.0000 4.1926
K Be P S
1 1 1 2
direct
0.0000 0.0000 0.0000
0.5000 0.5000 0.5000
0.5000 0.5000 0.0000
0.0000 0.5000 0.5000
0.5000 0.0000 0.5000
```



The least stable of them is entry w.



Entry w
This record from Alexandria describes a PBEsol-optimized structure of KBeRh3. The functional is meta-GGA SCAN.

Calculated values
Calculated volume, Å³ per cell: 77.6
SG: Pm-3m, No. 221

Structure (POSCAR):
```
KBeRh3
1.0
4.2655 0.0000 0.0000
0.0000 4.2655 0.0000
0.0000 0.0000 4.2655
K Be Rh
1 1 3
direct
0.0000 0.0000 0.0000
0.5000 0.5000 0.5000
0.0000 0.5000 0.5000
0.5000 0.0000 0.5000
0.5000 0.5000 0.0000
```



Entry x
This record from Alexandria describes a PBEsol-optimized structure of KBeRh3. The functional is meta-GGA SCAN.

Calculated values
Calculated volume, Å³ per cell: 91.4
SG: Pm-3m, No. 221

Structure (POSCAR):
```
KBeRh3
1.0
4.5041 0.0000 0.0000
0.0000 4.5041 0.0000
0.0000 0.0000 4.5041
K Be Rh
1 1 3
direct
0.0000 0.0000 0.0000
0.5000 0.5000 0.5000
0.0000 0.0000 0.5000
0.0000 0.5000 0.0000
0.5000 0.0000 0.0000
```



The least stable of them is entry x.